The following is a DFT calculation (GGA-PBE) of crystalline LaMn3Cu at its relaxed geometry.

Offset from the most stable computed form   0.0000 eV/atom
Space-group type   Pm-3m

Unit cell a=4.7027 b=4.7027 c=4.7027 alpha=90.00 beta=90.00 gamma=90.00
Last column: nearest neighbours and their distance in Å.
Sites, in units of the cell vectors:
La: 0.0000 0.0000 0.0000  12 Mn 3.33
Mn: 0.0000 0.5000 0.5000  2 Cu 2.35
Mn: 0.5000 0.0000 0.5000  2 Cu 2.35
Mn: 0.5000 0.5000 0.0000  2 Cu 2.35
Cu: 0.5000 0.5000 0.5000  6 Mn 2.35


The following is a DFT calculation (GGA-PBE) of crystalline MgPt2W at its relaxed geometry.

Space-group type   Imm2

Unit cell a=6.3887 b=6.3887 c=6.3887 alpha=154.86 beta=140.90 gamma=47.05
Last column: nearest neighbours and their distance in Å.
Sites, in units of the cell vectors:
Mg: 0.0000 0.0000 0.0000  6 Pt 2.69-2.85, 2 Mg 2.78
Pt: 0.3386 0.8386 0.5000  4 W 2.70, 2 Pt 2.78, 2 Mg 2.85
Pt: 0.5726 0.5726 0.0000  2 W 2.62, 4 Mg 2.69, 2 Pt 2.78
W: 0.7621 0.2621 0.5000  6 Pt 2.62-2.70, 2 W 2.78


One value per record, in order, for energy of formation from the pure elements: 0.55 -0.29 eV per atom.